No. 1
# GGA-PBE La2RhCl, optimized geometry
# Total magnetic moment ... 0.000 μB/atom
# Formation energy without anion corrections ... -1094 meV/atom
# Density of states at the Fermi level ... 2.877 states/eV/cell
# ΔE to the lowest computed polymorph ... 0.77 eV/f.u.
# Crystal system ... monoclinic
data_La2RhCl
_space_group_name_H-M_alt 'P 1 2/m 1'
_space_group_IT_number 10
_space_group_name_Hall '-P 2y'
_cell_length_a 3.565
_cell_length_b 3.514
_cell_length_c 8.061
_cell_angle_alpha 90.00
_cell_angle_beta 92.79
_cell_angle_gamma 90.00
loop_
_atom_site_label
_atom_site_type_symbol
_atom_site_fract_x
_atom_site_fract_y
_atom_site_fract_z
La1 La 0.067 0.000 0.281
Rh1 Rh 0.500 0.500 0.500
Cl1 Cl 0.500 0.500 0.000

---

No. 2
# GGA-PBE ZrAl2In, optimized geometry
# Energy relative to the elements ... -0.061 eV per atom
# Total magnetic moment ... 0.000 μB/atom
# Density of states at the Fermi level ... 2.815 states/eV/cell
# Crystal system ... tetragonal
data_ZrAl2In
_space_group_name_H-M_alt 'P 4 m m'
_space_group_IT_number 99
_space_group_name_Hall 'P 4 -2'
_cell_length_a 2.998
_cell_length_b 2.998
_cell_length_c 8.943
_cell_angle_alpha 90.00
_cell_angle_beta 90.00
_cell_angle_gamma 90.00
loop_
_atom_site_label
_atom_site_type_symbol
_atom_site_fract_x
_atom_site_fract_y
_atom_site_fract_z
Zr1 Zr 0.000 0.000 0.000
Al1 Al 0.000 0.000 0.457
Al2 Al 0.500 0.500 0.232
In1 In 0.500 0.500 0.729

---

No. 3
# GGA-PBE Tb2Er6Ga, optimized geometry
# Energy relative to the elements ... 0.022 eV per atom
# Total magnetic moment ... 0.000 μB/atom
# Density of states at the Fermi level ... 23.919 states/eV/cell
# Crystal system ... orthorhombic
data_Tb2Er6Ga
_space_group_name_H-M_alt 'C m m m'
_space_group_IT_number 65
_space_group_name_Hall '-C 2 2'
_cell_length_a 9.147
_cell_length_b 17.072
_cell_length_c 3.491
_cell_angle_alpha 90.00
_cell_angle_beta 90.00
_cell_angle_gamma 90.00
loop_
_atom_site_label
_atom_site_type_symbol
_atom_site_fract_x
_atom_site_fract_y
_atom_site_fract_z
Tb1 Tb 0.000 0.179 0.000
Er1 Er 0.173 0.339 0.500
Er2 Er 0.217 0.000 0.000
Ga1 Ga 0.000 0.500 0.500

---

No. 4
# GGA-PBE AlPH, optimized geometry
# Total magnetic moment ... 0.000 μB/atom
# Density of states at the Fermi level ... 1.672 states/eV/cell
# ΔE to the lowest computed polymorph ... 0.58 eV/f.u.
# Crystal system ... tetragonal
data_AlPH
_space_group_name_H-M_alt 'P 4/n m m'
_space_group_IT_number 129
_cell_length_a 4.537
_cell_length_b 4.537
_cell_length_c 4.855
_cell_angle_alpha 90.00
_cell_angle_beta 90.00
_cell_angle_gamma 90.00
loop_
_space_group_symop_operation_xyz
'x,y,z'
'-x,-y,-z'
'-y+1/2,x,z'
'y+1/2,-x,-z'
'-x+1/2,-y+1/2,z'
'x+1/2,y+1/2,-z'
'y,-x+1/2,z'
'-y,x+1/2,-z'
'x+1/2,-y,-z'
'-x+1/2,y,z'
'-y,-x,-z'
'y,x,z'
'-x,y+1/2,-z'
'x,-y+1/2,z'
'y+1/2,x+1/2,-z'
'-y+1/2,-x+1/2,z'
loop_
_atom_site_label
_atom_site_type_symbol
_atom_site_fract_x
_atom_site_fract_y
_atom_site_fract_z
Al1 Al 0.250 0.750 0.000
P1 P 0.250 0.250 0.194
H1 H 0.250 0.250 0.490

---

No. 5
# GGA-PBE Ce2DyHo3P6, optimized geometry
# Energy relative to the elements ... -1.580 eV per atom
# Total magnetic moment ... 0.067 μB/atom
# Density of states at the Fermi level ... 19.836 states/eV/cell
# Crystal system ... monoclinic
data_Ce2DyHo3P6
_space_group_name_H-M_alt 'C 1 2/m 1'
_space_group_IT_number 12
_space_group_name_Hall '-C 2y'
_cell_length_a 6.966
_cell_length_b 12.066
_cell_length_c 6.957
_cell_angle_alpha 90.00
_cell_angle_beta 109.50
_cell_angle_gamma 90.00
loop_
_atom_site_label
_atom_site_type_symbol
_atom_site_fract_x
_atom_site_fract_y
_atom_site_fract_z
Ce1 Ce 0.000 0.167 0.000
Dy1 Dy 0.000 0.500 0.000
Ho1 Ho 0.000 0.000 0.500
Ho2 Ho 0.000 0.333 0.500
P1 P 0.248 0.500 0.746
P2 P 0.250 0.166 0.748

---

No. 6
# GGA-PBE AlSb2P, optimized geometry
# Total magnetic moment ... 0.000 μB/atom
# Formation energy without anion corrections ... 178 meV/atom
# Density of states at the Fermi level ... 4.183 states/eV/cell
# ΔE to the lowest computed polymorph ... 0.82 eV/f.u.
# Crystal system ... orthorhombic
data_AlSb2P
_space_group_name_H-M_alt 'C m m m'
_space_group_IT_number 65
_space_group_name_Hall '-C 2 2'
_cell_length_a 5.839
_cell_length_b 8.155
_cell_length_c 3.952
_cell_angle_alpha 90.00
_cell_angle_beta 90.00
_cell_angle_gamma 90.00
loop_
_atom_site_label
_atom_site_type_symbol
_atom_site_fract_x
_atom_site_fract_y
_atom_site_fract_z
Al1 Al 0.000 0.000 0.000
Sb1 Sb 0.000 0.256 0.500
P1 P 0.000 0.500 0.000

---

No. 7
# GGA-PBE ErUPa2C4, optimized geometry
# Energy relative to the elements ... -0.346 eV per atom
# Total magnetic moment ... 0.000 μB/atom
# Density of states at the Fermi level ... 8.110 states/eV/cell
# Crystal system ... monoclinic
data_ErUPa2C4
_space_group_name_H-M_alt 'P 1 2/m 1'
_space_group_IT_number 10
_space_group_name_Hall '-P 2y'
_cell_length_a 6.138
_cell_length_b 3.577
_cell_length_c 6.177
_cell_angle_alpha 90.00
_cell_angle_beta 109.63
_cell_angle_gamma 90.00
loop_
_atom_site_label
_atom_site_type_symbol
_atom_site_fract_x
_atom_site_fract_y
_atom_site_fract_z
Er1 Er 0.000 0.000 0.000
U1 U 0.500 0.500 0.000
Pa1 Pa 0.000 0.500 0.500
Pa2 Pa 0.500 0.000 0.500
C1 C 0.264 0.000 0.759
C2 C 0.267 0.500 0.253